# AcPm5Ga6 GGA-PBE optimized geometry
# DOS(E_F) in states/eV/cell: 11.952
# Energy relative to the elements in meV/atom: -534
# Raw total energy in eV/atom: -4.37
data_AcPm5Ga6
_chemical_formula_sum 'Ac2 Pm10 Ga12'
_space_group_name_H-M_alt 'I m m m'
_space_group_IT_number 71
_space_group_name_Hall '-I 2 2'
_cell_length_a 5.263
_cell_length_b 7.373
_cell_length_c 15.818
_cell_angle_alpha 90.00
_cell_angle_beta 90.00
_cell_angle_gamma 90.00
loop_
_atom_site_label
_atom_site_type_symbol
_atom_site_fract_x
_atom_site_fract_y
_atom_site_fract_z
Ac1 Ac 0.000 0.000 0.000
Pm1 Pm 0.000 0.000 0.329
Pm2 Pm 0.000 0.500 0.000
Pm3 Pm 0.000 0.500 0.340
Ga1 Ga 0.000 0.228 0.500
Ga2 Ga 0.000 0.260 0.171